Density functional theory data (PBE) for a geometry-optimized Nb2HgRu2 structure.

abc: 4.303 4.303 6.103
angles: 69.36 69.36 90.00
Atoms (fractional coordinates):
Ru: 0.617 0.617 0.765
Nb: 0.250 0.750 0.500
Ru: 0.383 0.383 0.235
Nb: 0.750 0.250 0.500
Hg: 0.000 0.000 0.000

Computed properties:
The value obtained for the energy of formation is 155.5 meV per atom. Its crystal system is tetragonal. The distance to the lowest polymorph of the same formula is 182.1 meV/atom.